# NdGdHoZn

An optimized crystal structure of NdGdHoZn (GGA-PBE, Alexandria via LeMat-Bulk).

## Properties
Calculated formation energy in eV/atom: 0.027
E in eV/atom: -6.1485
Total magnetic moment in Bohr magnetons per cell: 30.73

a b c (Å): 7.6355 7.6355 7.6355
angles (deg): 90.00 90.00 90.00
Space group F-43m (No. 216)
Symmetry-distinct sites (fractional):
1 Nd 0.0000 0.0000 0.0000
2 Gd 0.0000 0.0000 0.5000
3 Ho 0.2500 0.2500 0.2500
4 Zn 0.2500 0.2500 0.7500

---

# TaPbCl2

An optimized crystal structure of TaPbCl2 (GGA-PBE, Alexandria via LeMat-Bulk).

## Properties
Formation energy without anion corrections in eV per formula unit: -1.3
E in eV/atom: -5.1392
Distance to the lowest polymorph of the same formula in meV/atom: 162
Total magnetic moment in Bohr magnetons per cell: 0.00

a b c (Å): 3.0647 5.9788 12.2273
angles (deg): 90.00 90.00 90.00
Space group Cmmm (No. 65)
Symmetry-distinct sites (fractional):
1 Ta 0.0000 0.0000 0.0000
2 Pb 0.0000 0.0000 0.5000
3 Cl 0.0000 0.5000 0.1605

---

# NaPmSnHg

An optimized crystal structure of NaPmSnHg (GGA-PBE, Alexandria via LeMat-Bulk).

## Properties
Calculated formation energy in eV/atom: -0.436
E in eV/atom: -3.0299
Distance to the lowest polymorph of the same formula in meV/atom: 19
Total magnetic moment in Bohr magnetons per cell: 0.00

a b c (Å): 4.0427 5.0238 5.3121
angles (deg): 90.00 90.00 90.00
Space group Pmmm (No. 47)
Symmetry-distinct sites (fractional):
1 Na 0.0000 0.0000 0.0000
2 Pm 0.0000 0.5000 0.5000
3 Sn 0.5000 0.0000 0.5000
4 Hg 0.5000 0.5000 0.0000